No. 1
The following is a PBE calculation of ErMg2Cu after structural relaxation, from Alexandria via LeMat-Bulk.

Properties
E_form = 0.248 eV/atom

Unit cell a=3.1692 b=3.1692 c=10.6087 alpha=81.41 beta=81.41 gamma=60.00
Sites, in units of the cell vectors:
Er 0.0000 0.0000 0.0000
Mg 0.8976 0.8976 0.3072
Cu 0.5000 0.5000 0.5000
Mg 0.1024 0.1024 0.6928

No. 2
The following is a PBE calculation of Co3AgW after structural relaxation, from Alexandria via LeMat-Bulk.

Properties
E_form = 2.231 eV/atom

Unit cell a=4.4642 b=4.4642 c=4.4642 alpha=90.00 beta=90.00 gamma=90.00
Last column: magnetic moment on the atom in μB.
Sites, in units of the cell vectors:
Co 0.0000 0.5000 0.0000  1.86
Ag 0.0000 0.0000 0.0000  0.12
Co 0.5000 0.0000 0.0000  1.60
W 0.5000 0.5000 0.5000  0.67
Co 0.0000 0.0000 0.5000  2.25